Here is LiMo2F11 after structural relaxation from the Alexandria database. Energies are from PBE with a Hubbard U.

Summary:
total energy	-5.05	eV per atom
magnetic moment	2.00	μB per formula unit
calculated volume	15.43	Å³/atom

Cell lengths 9.7259, 8.2914, 8.2914 Å; angles 62.81, 54.09, 54.09 degrees
Each line ends with the local moment (μB).
Fractional coordinates of all 28 atoms:
Li 0.7500 0.7500 0.7500  0.00
Li 0.2500 0.2500 0.2500  0.00
Mo 0.6349 0.6896 0.3104  0.94
Mo 0.3651 0.3104 0.6896  0.94
Mo 0.8651 0.1896 0.8104  0.94
Mo 0.1349 0.8104 0.1896  0.94
F 0.5874 0.7142 0.5557  0.01
F 0.4126 0.2858 0.4443  0.01
F 0.1427 0.5557 0.7142  0.01
F 0.9126 0.9443 0.7858  0.01
F 0.8573 0.4443 0.2858  0.01
F 0.0874 0.0557 0.2142  0.01
F 0.3573 0.7858 0.9443  0.01
F 0.6427 0.2142 0.0557  0.01
F 0.5000 0.5000 0.5000  0.02
F 0.0000 0.0000 0.0000  0.02
F 0.7895 0.8192 0.1808  0.03
F 0.2105 0.1808 0.8192  0.03
F 0.7105 0.3192 0.6808  0.03
F 0.2895 0.6808 0.3192  0.03
F 0.4137 0.9424 0.3050  0.00
F 0.5863 0.0576 0.6950  0.00
F 0.3388 0.3050 0.9424  0.00
F 0.0863 0.1950 0.5576  0.00
F 0.6612 0.6950 0.0576  0.00
F 0.9137 0.8050 0.4424  0.00
F 0.1611 0.5576 0.1950  0.00
F 0.8388 0.4424 0.8050  0.00